Below is V2Cr5 after structural relaxation, with properties calculated at the PBE level.

Results
The total energy is -9.324 eV/atom. The formation energy is 0.16 eV per atom.

a b c (Å): 4.9524 5.4805 6.7987
angles (deg): 90.44 111.36 90.00
Fractional positions:
V 0.2993 0.3930 0.8492
V 0.4501 0.1070 0.1508
V 0.7007 0.6070 0.1508
V 0.5499 0.8930 0.8492
Cr 0.2691 0.4669 0.2876
Cr 0.9815 0.0331 0.7124
Cr 0.1536 0.6785 0.5637
Cr 0.5899 0.8215 0.4363
Cr 0.8464 0.3215 0.4363
Cr 0.4101 0.1785 0.5637
Cr 0.0185 0.9669 0.2876
Cr 0.7309 0.5331 0.7124
Cr 0.8769 0.2500 0.0000
Cr 0.1231 0.7500 0.0000